Record 1
YTa3B | PBE | relaxed

Summary:
calculated volume: 18.6 Å³/atom
DFT formation energy: 157 meV per atom

Cell: 4.532 4.532 4.532 Å, 90.00 90.00 90.00°
Positions (direct):
Y1 0.000 0.000 0.000
Ta1 0.000 0.500 0.500
Ta2 0.500 0.000 0.500
Ta3 0.500 0.500 0.000
B1 0.500 0.500 0.500


Record 2
YTaB4 | PBE | relaxed

Summary:
calculated volume: 11.0 Å³/atom
DFT formation energy: -626 meV per atom

Cell: 6.169 11.929 3.594 Å, 90.00 90.00 90.00°
Positions (direct):
Y1 0.126 0.151 0.000
Y2 0.374 0.651 0.000
Y3 0.626 0.349 0.000
Y4 0.874 0.849 0.000
Ta1 0.134 0.413 0.000
Ta2 0.366 0.913 0.000
Ta3 0.634 0.087 0.000
Ta4 0.866 0.587 0.000
B1 0.023 0.694 0.500
B2 0.116 0.548 0.500
B3 0.132 0.969 0.500
B4 0.206 0.812 0.500
B5 0.294 0.312 0.500
B6 0.368 0.469 0.500
B7 0.384 0.048 0.500
B8 0.477 0.194 0.500
B9 0.523 0.806 0.500
B10 0.616 0.952 0.500
B11 0.632 0.531 0.500
B12 0.706 0.688 0.500
B13 0.794 0.188 0.500
B14 0.868 0.031 0.500
B15 0.884 0.452 0.500
B16 0.977 0.306 0.500


Record 3
YTaB2 | PBE | relaxed

Summary:
calculated volume: 14.1 Å³/atom
DFT formation energy: 501 meV per atom

Cell: 4.302 4.302 4.302 Å, 60.00 60.00 60.00°
Positions (direct):
Y1 0.000 0.000 0.000
Ta1 0.500 0.500 0.500
B1 0.250 0.250 0.250
B2 0.750 0.750 0.750


Record 4
YTa2B6 | PBE | relaxed

Summary:
calculated volume: 10.0 Å³/atom
DFT formation energy: -672 meV per atom

Cell: 5.464 5.464 3.471 Å, 90.00 90.00 120.00°
Positions (direct):
Y1 0.000 0.000 0.000
Ta1 0.333 0.667 0.000
Ta2 0.667 0.333 0.000
B1 0.000 0.339 0.500
B2 0.000 0.661 0.500
B3 0.339 0.000 0.500
B4 0.339 0.339 0.500
B5 0.661 0.000 0.500
B6 0.661 0.661 0.500


Record 5
Ta2ZnB | PBE | relaxed

Summary:
calculated volume: 14.0 Å³/atom
DFT formation energy: 414 meV per atom

Cell: 4.298 4.298 4.298 Å, 60.00 60.00 60.00°
Positions (direct):
Ta1 0.250 0.250 0.250
Ta2 0.750 0.750 0.750
Zn1 0.000 0.000 0.000
B1 0.500 0.500 0.500


Record 6
Ta3ZnB | PBE | relaxed

Summary:
calculated volume: 16.3 Å³/atom
DFT formation energy: 35 meV per atom

Cell: 4.333 4.333 4.333 Å, 90.00 90.00 90.00°
Positions (direct):
Ta1 0.000 0.000 0.500
Ta2 0.000 0.500 0.000
Ta3 0.500 0.000 0.000
Zn1 0.500 0.500 0.500
B1 0.000 0.000 0.000


Record 7
Ta2ZnB | PBE | relaxed

Summary:
calculated volume: 14.9 Å³/atom
DFT formation energy: 248 meV per atom

Cell: 5.415 5.415 5.415 Å, 104.87 104.87 119.12°
Positions (direct):
Ta1 0.088 0.625 0.963
Ta2 0.375 0.338 0.463
Ta3 0.662 0.125 0.037
Ta4 0.875 0.912 0.537
Zn1 0.250 0.750 0.500
Zn2 0.500 0.500 0.000
B1 0.000 0.000 0.000
B2 0.750 0.250 0.500


Record 8
Ta2ZnB | PBE | relaxed

Summary:
calculated volume: 15.1 Å³/atom
DFT formation energy: -266 meV per atom

Cell: 7.129 7.129 7.129 Å, 25.79 25.79 25.79°
Positions (direct):
Ta1 0.228 0.228 0.228
Ta2 0.772 0.772 0.772
Zn1 0.000 0.000 0.000
B1 0.500 0.500 0.500


Record 9
TaZnB2 | PBE | relaxed

Summary:
calculated volume: 11.8 Å³/atom
DFT formation energy: 525 meV per atom

Cell: 4.974 4.974 4.974 Å, 107.35 107.35 113.80°
Positions (direct):
Ta1 0.000 0.000 0.000
Ta2 0.750 0.250 0.500
Zn1 0.250 0.750 0.500
Zn2 0.500 0.500 0.000
B1 0.149 0.625 0.024
B2 0.375 0.399 0.524
B3 0.601 0.125 0.976
B4 0.875 0.851 0.476


Record 10
Ta4ZnB | PBE | relaxed

Summary:
calculated volume: 15.3 Å³/atom
DFT formation energy: -293 meV per atom

Cell: 6.056 6.056 5.015 Å, 90.00 90.00 90.00°
Positions (direct):
Ta1 0.137 0.317 0.000
Ta2 0.137 0.683 0.500
Ta3 0.317 0.137 0.500
Ta4 0.317 0.863 0.000
Ta5 0.683 0.137 0.000
Ta6 0.683 0.863 0.500
Ta7 0.863 0.317 0.500
Ta8 0.863 0.683 0.000
Zn1 0.500 0.500 0.250
Zn2 0.500 0.500 0.750
B1 0.000 0.000 0.250
B2 0.000 0.000 0.750


Record 11
ZrTaB | PBE | relaxed

Summary:
calculated volume: 15.9 Å³/atom
DFT formation energy: -351 meV per atom

Cell: 6.016 6.016 6.371 Å, 90.00 90.00 124.41°
Positions (direct):
Zr1 0.197 0.803 0.891
Zr2 0.303 0.697 0.391
Zr3 0.697 0.303 0.609
Zr4 0.803 0.197 0.109
Ta1 0.195 0.305 0.750
Ta2 0.305 0.195 0.250
Ta3 0.695 0.805 0.750
Ta4 0.805 0.695 0.250
B1 0.081 0.919 0.548
B2 0.419 0.581 0.048
B3 0.581 0.419 0.952
B4 0.919 0.081 0.452


Record 12
ZrTa2B6 | PBE | relaxed

Summary:
calculated volume: 9.6 Å³/atom
DFT formation energy: -765 meV per atom

Cell: 5.416 5.416 3.394 Å, 90.00 90.00 120.00°
Positions (direct):
Zr1 0.000 0.000 0.000
Ta1 0.333 0.667 0.000
Ta2 0.667 0.333 0.000
B1 0.000 0.336 0.500
B2 0.000 0.664 0.500
B3 0.336 0.000 0.500
B4 0.336 0.336 0.500
B5 0.664 0.000 0.500
B6 0.664 0.664 0.500


Number 1: total energy -9.58 eV/atom. Number 2: total energy -8.13 eV/atom. Number 3: total energy -7.42 eV/atom. Number 4: total energy -8.48 eV/atom. Number 5: total energy -7.50 eV/atom. Number 6: total energy -8.67 eV/atom. Number 7: total energy -7.67 eV/atom. Number 8: total energy -8.18 eV/atom. Number 9: total energy -6.10 eV/atom. Number 10: total energy -9.52 eV/atom. Number 11: total energy -9.38 eV/atom. Number 12: total energy -8.80 eV/atom.